## CrWBr2 (GGA-PBE)

Data for a relaxed CrWBr2 crystal.

Symmetry   No. 166
Crystal system   trigonal
E above lowest polymorph   65.66 kJ per mole of atoms
ΔE_f (raw)   0.849 eV/atom

a = 10.0392 Å, b = 10.0392 Å, c = 10.0392 Å
α = 18.53°, β = 18.53°, γ = 18.53°
With the nearest neighbours (Å) after each atom.
Fractional positions:
Cr  0.2500  0.2500  0.2500  6 Cr 3.23, 6 Br 3.58
Br  0.0200  0.0200  0.0200  3 W 2.64
Br  0.4800  0.4800  0.4800  3 W 2.64
W  0.7500  0.7500  0.7500  6 Br 2.64

---

## LiScAu2 (GGA-PBE)

Data for a relaxed LiScAu2 crystal.

Formation energy from the elements   -0.52 eV/atom
Symmetry   No. 25
Crystal system   orthorhombic
E above lowest polymorph   16.71 kJ per mole of atoms

a = 3.5742 Å, b = 3.5873 Å, c = 5.7865 Å
α = 90.00°, β = 90.00°, γ = 90.00°
With the nearest neighbours (Å) after each atom.
Fractional positions:
Sc  0.5000  0.5000  0.7789  6 Au 2.79-2.97
Au  0.0000  0.0000  0.9821  1 Li 2.69, 4 Sc 2.79
Au  0.5000  0.5000  0.2923  4 Li 2.68, 2 Sc 2.82-2.97
Li  0.0000  0.0000  0.4467  5 Au 2.68-2.69

---

## ZnAg2Os (GGA-PBE)

Data for a relaxed ZnAg2Os crystal.

Formation energy from the elements   0.38 eV/atom
Symmetry   No. 10
Crystal system   monoclinic

a = 2.7178 Å, b = 4.8650 Å, c = 5.7759 Å
α = 56.14°, β = 90.00°, γ = 90.00°
With the nearest neighbours (Å) after each atom.
Fractional positions:
Os  0.5000  0.5000  0.5000  2 Os 2.72, 4 Zn 2.79, 6 Ag 2.88-2.89
Ag  0.0000  0.0000  0.0000  6 Ag 2.72-2.79, 4 Os 2.88, 2 Zn 2.89
Zn  0.0000  0.0000  0.5000  2 Zn 2.72, 4 Os 2.79, 6 Ag 2.88-2.89
Ag  0.5000  0.5000  0.0000  6 Ag 2.72-2.79, 4 Zn 2.88, 2 Os 2.89

---

## K3USn3Se8 (GGA-PBE)

Data for a relaxed K3USn3Se8 crystal.

Symmetry   No. 166
Crystal system   trigonal
ΔE_f (raw)   -0.857 eV/atom

a = 8.5008 Å, b = 8.4995 Å, c = 9.2253 Å
α = 117.44°, β = 90.01°, γ = 120.00°
With the nearest neighbours (Å) after each atom.
Fractional positions:
Se  0.2190  0.9744  0.6932  1 U 2.73, 2 Sn 2.96
Se  0.7553  0.9743  0.6932  1 U 2.73, 2 Sn 2.96
Se  0.2447  0.0257  0.3068  1 U 2.73, 2 Sn 2.96
Sn  0.5000  0.0000  0.5000  6 Se 2.96
Sn  0.0000  0.5000  0.5000  6 Se 2.96
Se  0.7810  0.0256  0.3068  1 U 2.73, 2 Sn 2.96
K  0.0000  0.0000  0.0000  6 Se 3.33-3.37
K  0.0000  0.5000  0.0000  6 Se 3.33-3.37
Se  0.2630  0.5259  0.2889  3 Sn 2.96
Sn  0.5000  0.5000  0.5000  6 Se 2.96
Se  0.7811  0.5621  0.3068  1 U 2.73, 2 Sn 2.96
Se  0.7370  0.4741  0.7111  3 Sn 2.96
Se  0.2189  0.4379  0.6932  1 U 2.73, 2 Sn 2.96
U  0.0000  0.0000  0.5000  6 Se 2.73
K  0.5000  0.5000  0.0000  6 Se 3.33-3.37

---

## BaNi2Au (GGA-PBE)

Data for a relaxed BaNi2Au crystal.

Formation energy from the elements   -0.16 eV/atom
Symmetry   No. 8
Crystal system   monoclinic
E above lowest polymorph   2.79 kJ per mole of atoms

a = 4.3551 Å, b = 4.3551 Å, c = 6.0697 Å
α = 68.98°, β = 68.98°, γ = 60.04°
With the nearest neighbours (Å) after each atom.
Fractional positions:
Ni  0.0659  0.0659  0.8029  3 Ni 2.52, 3 Au 2.61
Au  0.4410  0.4410  0.6779  6 Ni 2.57-2.61
Ba  0.2491  0.2491  0.2499  1 Ni 3.06, 1 Au 3.16
Ni  0.7440  0.7440  0.7692  3 Ni 2.52, 3 Au 2.57

---

## Np6SeS8 (GGA-PBE)

Data for a relaxed Np6SeS8 crystal.

Symmetry   No. 148
Crystal system   trigonal
ΔE_f (raw)   -1.317 eV/atom

a = 7.6294 Å, b = 7.6294 Å, c = 8.1708 Å
α = 62.17°, β = 62.17°, γ = 60.00°
With the nearest neighbours (Å) after each atom.
Fractional positions:
Np  0.4210  0.0773  0.7615  4 S 2.66-2.79
Np  0.7403  0.4210  0.7615  4 S 2.66-2.79
S  0.8786  0.5548  0.3565  4 Np 2.66-2.79
S  0.6672  0.6672  0.9985  6 Np 2.99-3.02
Np  0.2597  0.5790  0.2385  4 S 2.66-2.79
S  0.3328  0.3328  0.0015  6 Np 2.99-3.02
S  0.2102  0.8786  0.3565  4 Np 2.66-2.79
S  0.4452  0.7898  0.6435  4 Np 2.66-2.79
Se  0.0000  0.0000  0.0000  6 Np 3.07
Np  0.0773  0.7403  0.7615  4 S 2.66-2.79
Np  0.9227  0.2597  0.2385  4 S 2.66-2.79
S  0.1214  0.4452  0.6435  4 Np 2.66-2.79
Np  0.5790  0.9227  0.2385  4 S 2.66-2.79
S  0.5548  0.2102  0.3565  4 Np 2.66-2.79
S  0.7898  0.1214  0.6435  4 Np 2.66-2.79

---

## KZn3N (GGA-PBE)

Data for a relaxed KZn3N crystal.

Symmetry   No. 221
Crystal system   cubic
E above lowest polymorph   0.00 kJ per mole of atoms
ΔE_f (raw)   0.691 eV/atom

a = 4.5834 Å, b = 4.5834 Å, c = 4.5834 Å
α = 90.00°, β = 90.00°, γ = 90.00°
With the nearest neighbours (Å) after each atom.
Fractional positions:
Zn  0.0000  0.0000  0.5000  2 N 2.29
Zn  0.0000  0.5000  0.0000  2 N 2.29
Zn  0.5000  0.0000  0.0000  2 N 2.29
K  0.5000  0.5000  0.5000  12 Zn 3.24
N  0.0000  0.0000  0.0000  6 Zn 2.29

---

## K2GePdSe4 (GGA-PBE)

Data for a relaxed K2GePdSe4 crystal.

Symmetry   No. 70
Crystal system   orthorhombic
ΔE_f (raw)   -0.609 eV/atom

a = 7.0325 Å, b = 7.4849 Å, c = 11.1425 Å
α = 81.47°, β = 71.60°, γ = 61.98°
With the nearest neighbours (Å) after each atom.
Fractional positions:
Se  0.8667  0.6694  0.6254  1 Ge 2.40, 1 Pd 2.54
K  0.8128  0.0000  0.3745  4 Se 3.41-3.44
Se  0.5080  0.3306  0.6254  1 Ge 2.40, 1 Pd 2.54
Se  0.1615  0.3306  0.3746  1 Ge 2.40, 1 Pd 2.54
K  0.1872  0.0000  0.6255  4 Se 3.41-3.44
Pd  0.7500  0.5000  0.5000  4 Se 2.54
Se  0.2420  0.1694  0.8746  1 Ge 2.40, 1 Pd 2.54
Ge  0.2500  0.5000  0.5000  4 Se 2.40
Ge  0.5000  0.0000  0.0000  4 Se 2.40
Pd  0.0000  0.0000  0.0000  4 Se 2.54
Se  0.2861  0.8306  0.1254  1 Ge 2.40, 1 Pd 2.54
Se  0.5885  0.1694  0.1254  1 Ge 2.40, 1 Pd 2.54
K  0.9372  0.5000  0.1255  4 Se 3.41-3.44
K  0.5628  0.5000  0.8745  4 Se 3.41-3.44
Se  0.4639  0.6694  0.3746  1 Ge 2.40, 1 Pd 2.54
Se  0.8833  0.8306  0.8746  1 Ge 2.40, 1 Pd 2.54

---

Number 1: VASP energy -5.632 eV/atom. Number 2: VASP energy -4.216 eV/atom. Number 3: VASP energy -4.172 eV/atom. Number 4: VASP energy -4.488 eV/atom. Number 5: VASP energy -4.350 eV/atom. Number 6: VASP energy -8.927 eV/atom. Number 7: VASP energy -1.958 eV/atom. Number 8: VASP energy -3.852 eV/atom.